# 1
! PBE Ca2FeW, relaxed; values from VASP
! * V: 80.9 Å³ per cell
! * ΔE_f: 1048 meV/atom
! * crystal system: tetragonal
&SYSTEM
  ibrav = 0, nat = 4, ntyp = 3
/
ATOMIC_SPECIES
Ca 40.08 Ca.upf
Fe 55.84 Fe.upf
W 183.84 W.upf
ATOMIC_POSITIONS crystal
Ca 0.250 0.750 0.500
Ca 0.750 0.250 0.500
Fe 0.000 0.000 0.000
W 0.500 0.500 0.000
CELL_PARAMETERS angstrom
-2.018 2.018 4.965
2.018 -2.018 4.965
2.018 2.018 -4.965


# 2
! PBE NiIrOs, relaxed; values from VASP
! * V: 48.0 Å³ per cell
! * ΔE_f: 579 meV/atom
! * crystal system: cubic
&SYSTEM
  ibrav = 0, nat = 3, ntyp = 3
/
ATOMIC_SPECIES
Ni 58.69 Ni.upf
Ir 192.22 Ir.upf
Os 190.23 Os.upf
ATOMIC_POSITIONS crystal
Ni 0.000 0.000 0.000
Ir 0.250 0.250 0.250
Os 0.500 0.500 0.500
CELL_PARAMETERS angstrom
0.000 2.885 2.885
2.885 0.000 2.885
2.885 2.885 0.000


# 3
! PBE LaY2Tm9, relaxed; values from VASP
! * V: 372.1 Å³ per cell
! * ΔE_f: 34 meV/atom
! * crystal system: tetragonal
&SYSTEM
  ibrav = 0, nat = 12, ntyp = 3
/
ATOMIC_SPECIES
La 138.91 La.upf
Y 88.91 Y.upf
Tm 168.93 Tm.upf
ATOMIC_POSITIONS crystal
La 0.000 0.000 0.000
Y 0.000 0.000 0.334
Y 0.000 0.000 0.666
Tm 0.000 0.500 0.170
Tm 0.000 0.500 0.500
Tm 0.000 0.500 0.830
Tm 0.500 0.000 0.170
Tm 0.500 0.000 0.500
Tm 0.500 0.000 0.830
Tm 0.500 0.500 0.000
Tm 0.500 0.500 0.335
Tm 0.500 0.500 0.665
CELL_PARAMETERS angstrom
4.985 0.000 0.000
0.000 4.985 0.000
0.000 0.000 14.973


# 4
! PBE Cs3Sr2Cl7, relaxed; values from VASP
! * V: 472.3 Å³ per cell
! * crystal system: tetragonal
! * raw formation energy: -2.24 eV per atom
&SYSTEM
  ibrav = 0, nat = 12, ntyp = 3
/
ATOMIC_SPECIES
Cs 132.91 Cs.upf
Sr 87.62 Sr.upf
Cl 35.45 Cl.upf
ATOMIC_POSITIONS crystal
Cs 0.000 0.000 0.000
Cs 0.183 0.183 0.000
Cs 0.817 0.817 0.000
Sr 0.400 0.400 0.000
Sr 0.600 0.600 0.000
Cl 0.097 0.597 0.500
Cl 0.301 0.301 0.000
Cl 0.403 0.903 0.500
Cl 0.500 0.500 0.000
Cl 0.597 0.097 0.500
Cl 0.699 0.699 0.000
Cl 0.903 0.403 0.500
CELL_PARAMETERS angstrom
-2.858 2.858 14.452
2.858 -2.858 14.452
2.858 2.858 -14.452


# 5
! PBE Ir2PtBr, relaxed; values from VASP
! * V: 68.8 Å³ per cell
! * crystal system: tetragonal
! * raw formation energy: 0.60 eV per atom
&SYSTEM
  ibrav = 0, nat = 4, ntyp = 3
/
ATOMIC_SPECIES
Ir 192.22 Ir.upf
Pt 195.08 Pt.upf
Br 79.90 Br.upf
ATOMIC_POSITIONS crystal
Ir 0.000 0.000 0.000
Ir 0.500 0.500 0.207
Pt 0.000 0.000 0.431
Br 0.500 0.500 0.754
CELL_PARAMETERS angstrom
2.881 0.000 0.000
0.000 2.881 0.000
0.000 0.000 8.288


# 6
! PBE KCr2P, relaxed; values from VASP
! * V: 78.3 Å³ per cell
! * ΔE_f: 1057 meV/atom
! * crystal system: monoclinic
&SYSTEM
  ibrav = 0, nat = 4, ntyp = 3
/
ATOMIC_SPECIES
K 39.10 K.upf
Cr 52.00 Cr.upf
P 30.97 P.upf
ATOMIC_POSITIONS crystal
K 0.000 0.000 0.000
Cr 0.000 0.500 0.000
Cr 0.500 0.000 0.000
P 0.500 0.500 0.000
CELL_PARAMETERS angstrom
3.093 -4.859 0.000
3.093 4.859 0.000
-1.421 0.000 2.604


# 7
! PBE LaSeO, relaxed; values from VASP
! * V: 67.8 Å³ per cell
! * crystal system: hexagonal
! * raw formation energy: -2.17 eV per atom
&SYSTEM
  ibrav = 0, nat = 3, ntyp = 3
/
ATOMIC_SPECIES
La 138.91 La.upf
Se 78.96 Se.upf
O 16.00 O.upf
ATOMIC_POSITIONS crystal
La 0.000 0.000 0.000
Se 0.667 0.333 0.500
O 0.333 0.667 0.000
CELL_PARAMETERS angstrom
3.999 0.000 0.000
-1.999 3.463 0.000
0.000 0.000 4.898


# 8
! PBE LiY4, relaxed; values from VASP
! * V: 166.8 Å³ per cell
! * ΔE_f: 482 meV/atom
! * crystal system: tetragonal
&SYSTEM
  ibrav = 0, nat = 5, ntyp = 2
/
ATOMIC_SPECIES
Li 6.94 Li.upf
Y 88.91 Y.upf
ATOMIC_POSITIONS crystal
Li 0.000 0.000 0.000
Y 0.250 0.750 0.500
Y 0.408 0.408 0.000
Y 0.592 0.592 0.000
Y 0.750 0.250 0.500
CELL_PARAMETERS angstrom
-2.175 2.175 8.814
2.175 -2.175 8.814
2.175 2.175 -8.814


Which calculated density belongs to each record? In order, 6.57; 15.25; 8.20; 2.89; 15.91; 3.69; 5.73; 3.61 g cm⁻³.
Which E_tot belongs to each record? In order, -5.306; -8.045; -4.807; -3.811; -5.762; -5.382; -6.630; -5.072 eV/atom.